Entry 1:
# Tm12InAu6 | the Alexandria database | GGA-PBE | relaxed
data_Tm12InAu6
_symmetry_space_group_name_H-M 'R -3'
_symmetry_Int_Tables_number 148
_symmetry_space_group_name_Hall '-R 3'
_cell_length_a 13.1718
_cell_length_b 13.1718
_cell_length_c 11.2714
_cell_angle_alpha 90.00
_cell_angle_beta 90.00
_cell_angle_gamma 120.00
loop_
_atom_site_label
_atom_site_type_symbol
_atom_site_fract_x
_atom_site_fract_y
_atom_site_fract_z
_atom_site_occupancy
Tm1 Tm 0.0355 0.2141 0.3907 1
Tm2 Tm 0.0411 0.2265 0.8972 1
In1 In 0.0000 0.0000 0.0000 1
Au1 Au 0.0450 0.2567 0.6488 1
# * spin magnetization: 0.00 μB/cell
# * total energy: -4.402 eV per atom
# * E_form: -0.3986 eV/atom



Entry 2:
# Er6Al3Si | the Alexandria database | GGA-PBE | relaxed
data_Er6Al3Si
_symmetry_space_group_name_H-M 'I 4/m c m'
_symmetry_Int_Tables_number 140
_symmetry_space_group_name_Hall '-I 4 2c'
_cell_length_a 11.4619
_cell_length_b 11.4619
_cell_length_c 15.1178
_cell_angle_alpha 90.00
_cell_angle_beta 90.00
_cell_angle_gamma 90.00
loop_
_atom_site_label
_atom_site_type_symbol
_atom_site_fract_x
_atom_site_fract_y
_atom_site_fract_z
_atom_site_occupancy
Er1 Er 0.0000 0.5000 0.1475 1
Er2 Er 0.0635 0.1968 0.1341 1
Er3 Er 0.1700 0.3300 0.5000 1
Al1 Al 0.1203 0.3797 0.0000 1
Al2 Al 0.1777 0.3223 0.2958 1
Si1 Si 0.0000 0.0000 0.0000 1
Si2 Si 0.0000 0.0000 0.2500 1
# * spin magnetization: 0.00 μB/cell
# * total energy: -4.811 eV per atom



Entry 3:
# RbTlZnCd2 | the Alexandria database | GGA-PBE | relaxed
data_RbTlZnCd2
_symmetry_space_group_name_H-M 'P 4/m m m'
_symmetry_Int_Tables_number 123
_symmetry_space_group_name_Hall '-P 4 2'
_cell_length_a 5.4722
_cell_length_b 5.4722
_cell_length_c 5.4323
_cell_angle_alpha 90.00
_cell_angle_beta 90.00
_cell_angle_gamma 90.00
loop_
_atom_site_label
_atom_site_type_symbol
_atom_site_fract_x
_atom_site_fract_y
_atom_site_fract_z
_atom_site_occupancy
Rb1 Rb 0.0000 0.0000 0.0000 1
Tl1 Tl 0.5000 0.5000 0.0000 1
Zn1 Zn 0.5000 0.5000 0.5000 1
Cd1 Cd 0.0000 0.5000 0.5000 1
# * spin magnetization: 0.00 μB/cell
# * total energy: -1.217 eV per atom
# * E_form: 0.0711 eV/atom